Below is an optimized crystal structure of TbYGaGe, with properties calculated at the PBE level.

abc: 5.074 5.074 5.074
angles: 60.00 60.00 60.00
Sites, in units of the cell vectors:
Tb 0.000 0.000 0.000
Y 0.500 0.500 0.500
Ga 0.250 0.250 0.250
Ge 0.750 0.750 0.750

Properties
- Magnetic moment: 0.00 μB/f.u.
- Crystal system: cubic
- Calculated formation energy: -56.8 kJ per mole of atoms

---

Below is an optimized crystal structure of GaTc2Ge, with properties calculated at the PBE level.

abc: 8.184 8.184 8.184
angles: 20.65 20.65 20.65
Sites, in units of the cell vectors:
Ga 0.000 0.000 0.000
Tc 0.582 0.582 0.582
Tc 0.751 0.751 0.751
Ge 0.167 0.167 0.167

Properties
- Magnetic moment: 0.00 μB/f.u.
- Crystal system: trigonal
- Calculated formation energy: -3.0 kJ per mole of atoms

---

Below is an optimized crystal structure of Ga4Tc2Ge, with properties calculated at the PBE level.

abc: 7.192 7.192 7.192
angles: 139.54 139.54 58.55
Sites, in units of the cell vectors:
Ga 0.000 0.500 0.500
Ga 0.202 0.202 0.000
Ga 0.500 0.000 0.500
Ga 0.798 0.798 0.000
Tc 0.410 0.410 0.000
Tc 0.590 0.590 0.000
Ge 0.000 0.000 0.000

Properties
- Magnetic moment: 1.54 μB/f.u.
- Crystal system: tetragonal
- Calculated formation energy: 72.8 kJ per mole of atoms